NaCeSc2 | Alexandria | PBE | optimized geometry; magnetization = 1.18 μB per formula unit; E_form = 0.982 eV/atom
1.0
2.0218 1.1673 9.5909
-2.0218 1.1673 9.5909
0.0000 -2.3345 9.5909
Na Ce Sc
1 1 2
Direct
0.0000 0.0000 0.0000
0.5000 0.5000 0.5000
0.1162 0.1162 0.1162
0.8838 0.8838 0.8838